# 1
SrCa2In | PBE-GGA | optimized geometry

The structure in extended XYZ format:
```
4
Lattice="-2.245 1.408 3.090 1.668 -2.707 2.446 8.416 3.350 4.587" Properties=species:S:1:pos:R:3 pbc="T T T"
Sr 6.119 0.897 6.718
Ca 1.800 -2.589 2.488
Ca 1.730 1.162 3.409
In 4.902 0.196 3.472
```


# 2
Sr3Ca4In | PBE-GGA | optimized geometry

The structure in extended XYZ format:
```
8
Lattice="-2.613 0.005 3.062 1.411 -3.571 1.209 14.360 9.816 12.238" Properties=species:S:1:pos:R:3 pbc="T T T"
Sr 2.631 0.426 4.890
Sr 6.579 3.125 8.255
Sr 10.527 5.824 11.620
Ca 13.133 8.978 11.193
Ca 1.227 0.838 1.045
Ca 5.215 3.565 4.444
Ca 9.145 6.251 7.794
In -0.601 -1.783 2.136
```


# 3
SrCa2In2 | PBE-GGA | optimized geometry

Results
- relative energy among the computed polymorphs (meV/atom) = 0

The structure in extended XYZ format:
```
10
Lattice="9.112 0.000 0.000 0.000 9.112 0.000 0.000 0.000 4.062" Properties=species:S:1:pos:R:3 pbc="T T T"
Sr 0.000 0.000 0.000
Sr 4.556 4.556 0.000
Ca 1.551 6.107 2.031
Ca 6.107 7.561 2.031
Ca 7.561 3.005 2.031
Ca 3.005 1.551 2.031
In 3.419 7.975 0.000
In 7.975 5.693 0.000
In 5.693 1.137 0.000
In 1.137 3.419 0.000
```


# 4
SrCa2In2 | PBE-GGA | optimized geometry

Results
- relative energy among the computed polymorphs (meV/atom) = 11

The structure in extended XYZ format:
```
10
Lattice="9.457 0.000 0.000 0.000 9.457 0.000 0.000 0.000 3.601" Properties=species:S:1:pos:R:3 pbc="T T T"
Sr 0.000 0.000 0.000
Sr 4.728 4.728 0.000
Ca 3.524 8.252 0.000
Ca 8.252 5.933 0.000
Ca 5.933 1.205 0.000
Ca 1.205 3.524 0.000
In 1.615 6.343 1.801
In 6.343 7.842 1.801
In 7.842 3.114 1.801
In 3.114 1.615 1.801
```


# 5
Sr2CaIn | PBE-GGA | optimized geometry

The structure in extended XYZ format:
```
4
Lattice="-2.328 -2.221 6.542 0.731 -4.942 5.311 3.440 1.786 4.602" Properties=species:S:1:pos:R:3 pbc="T T T"
Sr 3.245 1.440 4.883
Sr 1.116 -2.343 7.948
Ca 0.461 -1.344 4.114
In 1.382 -4.033 12.342
```


# 6
Sr2CaIn | PBE-GGA | optimized geometry

The structure in extended XYZ format:
```
16
Lattice="-2.595 -6.469 -0.288 2.083 -4.990 8.821 -9.684 -0.039 3.643" Properties=species:S:1:pos:R:3 pbc="T T T"
Sr -6.124 -5.274 4.410
Sr -8.963 -2.394 4.741
Sr -7.968 -8.390 7.073
Sr -2.220 -3.086 5.105
Sr -0.030 -6.103 7.569
Sr -4.080 -6.244 7.766
Sr -8.385 -10.141 10.709
Sr -3.015 -4.356 1.334
Ca -8.202 -4.702 8.046
Ca -4.585 -9.743 9.216
Ca -5.534 -1.562 2.969
Ca -2.071 -6.987 4.122
In -2.052 -9.017 6.774
In -6.471 -7.120 10.062
In -9.535 -5.947 5.248
In -2.334 -0.910 2.269
```


# 7
SrCa2In2 | PBE-GGA | optimized geometry

Results
- relative energy among the computed polymorphs (meV/atom) = 245

The structure in extended XYZ format:
```
5
Lattice="-3.150 2.681 3.961 3.706 -1.631 4.050 3.341 5.377 3.158" Properties=species:S:1:pos:R:3 pbc="T T T"
Sr 0.000 0.000 0.000
Ca 1.198 1.982 3.751
Ca 2.699 4.445 7.418
In 0.234 4.291 5.562
In 3.662 2.136 5.607
```


# 8
SrCa2In | PBE-GGA | optimized geometry

The structure in extended XYZ format:
```
16
Lattice="-0.807 -6.115 -2.691 -0.624 -3.720 8.641 -9.734 1.340 -0.126" Properties=species:S:1:pos:R:3 pbc="T T T"
Sr -3.244 -5.276 2.939
Sr -3.182 -5.305 -2.213
Sr -7.921 -3.219 2.885
Sr -7.983 -3.191 8.037
Ca -1.083 -3.142 5.475
Ca -4.713 -2.379 0.397
Ca -6.353 -5.866 0.398
Ca -10.182 -5.603 5.379
Ca -10.082 -5.353 0.350
Ca -6.452 -6.116 5.427
Ca -4.813 -2.629 5.426
Ca -0.984 -2.893 0.445
In -2.737 -1.581 3.020
In -3.319 -5.486 6.441
In -8.428 -6.915 2.804
In -7.847 -3.009 -0.616
```


# 9
SrCa5In4 | PBE-GGA | optimized geometry

The structure in extended XYZ format:
```
10
Lattice="3.884 0.000 0.000 0.000 3.884 0.000 0.000 0.000 21.562" Properties=species:S:1:pos:R:3 pbc="T T T"
Sr 0.000 0.000 0.000
Ca 1.942 1.942 3.130
Ca 1.942 1.942 6.946
Ca 1.942 1.942 10.781
Ca 1.942 1.942 14.616
Ca 1.942 1.942 18.432
In 0.000 0.000 4.992
In 0.000 0.000 8.869
In 0.000 0.000 12.693
In 0.000 0.000 16.570
```


# 10
SrCa2In2 | PBE-GGA | optimized geometry

Results
- relative energy among the computed polymorphs (meV/atom) = 4

The structure in extended XYZ format:
```
10
Lattice="7.274 2.118 -0.535 5.772 7.264 -0.535 2.974 0.864 8.033" Properties=species:S:1:pos:R:3 pbc="T T T"
Sr 11.941 7.662 1.369
Sr 4.078 2.583 5.595
Ca 8.514 6.667 -0.340
Ca 7.360 3.537 3.722
Ca 7.506 3.579 7.304
Ca 8.660 6.708 3.242
In 7.361 3.539 0.503
In 13.095 7.998 4.832
In 2.925 2.248 2.132
In 8.659 6.706 6.461
```


# 11
SrCa2In | PBE-GGA | optimized geometry

The structure in extended XYZ format:
```
4
Lattice="-4.538 -3.645 0.531 -0.441 -4.649 -3.515 0.804 -5.375 2.148" Properties=species:S:1:pos:R:3 pbc="T T T"
Sr -2.088 -6.834 -0.419
Ca -4.979 -8.294 -2.984
Ca -1.043 -3.418 -0.208
In -3.132 -10.250 -0.629
```


# 12
Sr2CaIn | PBE-GGA | optimized geometry

The structure in extended XYZ format:
```
4
Lattice="4.650 0.000 0.000 0.000 5.742 0.000 0.000 0.000 5.742" Properties=species:S:1:pos:R:3 pbc="T T T"
Sr 0.000 0.000 0.000
Sr 0.000 2.871 2.871
Ca 2.325 2.871 0.000
In 2.325 0.000 2.871
```


# 13
Sr2Ca2In3 | PBE-GGA | optimized geometry

The structure in extended XYZ format:
```
7
Lattice="-2.539 -1.551 4.624 3.164 -3.582 -2.703 8.069 5.014 2.791" Properties=species:S:1:pos:R:3 pbc="T T T"
Sr 2.783 1.043 1.857
Sr 5.910 -1.162 2.856
Ca 0.254 -1.894 2.776
Ca 8.440 1.774 1.936
In 0.000 0.000 0.000
In 5.693 2.135 3.813
In 3.000 -2.254 0.900
```


# 14
SrCa2In | PBE-GGA | optimized geometry

The structure in extended XYZ format:
```
4
Lattice="-4.420 -4.360 -3.526 5.564 2.852 -3.447 2.183 -3.013 -0.795" Properties=species:S:1:pos:R:3 pbc="T T T"
Sr 3.874 -0.081 -2.121
Ca 0.000 0.000 0.000
Ca 0.572 -0.754 -3.487
In -1.118 -3.687 -2.161
```


# 15
Sr3CaIn12 | PBE-GGA | optimized geometry

The structure in extended XYZ format:
```
16
Lattice="4.872 0.000 0.000 0.000 4.872 0.000 0.000 0.000 18.989" Properties=species:S:1:pos:R:3 pbc="T T T"
Sr 0.000 0.000 4.658
Sr 0.000 0.000 9.494
Sr 0.000 0.000 14.330
Ca 0.000 0.000 0.000
In 2.436 2.436 0.000
In 2.436 2.436 4.742
In 2.436 2.436 9.494
In 2.436 2.436 14.247
In 2.436 0.000 2.261
In 2.436 0.000 7.084
In 2.436 0.000 11.905
In 2.436 0.000 16.727
In 0.000 2.436 2.261
In 0.000 2.436 7.084
In 0.000 2.436 11.905
In 0.000 2.436 16.727
```


# 16
SrCa2In | PBE-GGA | optimized geometry

The structure in extended XYZ format:
```
4
Lattice="3.869 0.000 0.000 0.000 3.929 0.535 0.000 2.578 10.418" Properties=species:S:1:pos:R:3 pbc="T T T"
Sr 1.935 4.880 8.214
Ca 0.000 3.847 1.126
Ca 0.000 3.335 4.885
In 1.935 1.627 2.738
```


# 17
SrCa2In | PBE-GGA | optimized geometry

The structure in extended XYZ format:
```
4
Lattice="7.179 0.006 0.016 6.025 3.905 0.016 2.516 0.745 5.424" Properties=species:S:1:pos:R:3 pbc="T T T"
Sr 11.790 3.492 4.091
Ca 12.753 3.777 0.259
Ca 8.311 2.461 2.500
In 3.930 1.164 1.364
```


# 18
Sr2CaIn | PBE-GGA | optimized geometry

The structure in extended XYZ format:
```
8
Lattice="9.833 0.000 0.000 0.000 9.833 0.000 4.917 4.917 3.606" Properties=species:S:1:pos:R:3 pbc="T T T"
Sr 7.867 2.458 0.902
Sr 1.966 7.375 0.902
Sr 7.375 6.883 2.705
Sr 12.292 12.784 2.705
Ca 4.917 4.917 0.000
Ca 4.917 9.833 1.803
In 0.000 0.000 0.000
In 9.833 4.917 1.803
```


# 19
Sr3CaIn | PBE-GGA | optimized geometry

Results
- relative energy among the computed polymorphs (meV/atom) = 0

The structure in extended XYZ format:
```
20
Lattice="-1.447 7.236 2.601 -2.537 -3.610 8.631 11.478 2.175 0.337" Properties=species:S:1:pos:R:3 pbc="T T T"
Sr 3.924 2.515 1.586
Sr 3.570 3.286 9.983
Sr -2.232 2.515 9.928
Sr 9.726 3.286 1.641
Sr 0.888 1.653 7.678
Sr 6.605 4.148 3.891
Sr 1.588 -0.549 2.424
Sr 5.905 6.350 9.144
Sr 4.123 1.018 5.421
Sr 3.370 4.783 6.148
Sr 9.100 5.916 6.333
Sr -1.606 -0.115 5.236
Ca 1.770 -1.946 6.602
Ca 5.723 7.747 4.967
Ca 0.683 3.167 3.542
Ca 6.810 2.634 8.026
In 4.238 -0.183 8.559
In 3.256 5.985 3.010
In 9.019 6.953 3.136
In -1.525 -1.152 8.433
```


# 20
Sr2CaIn | PBE-GGA | optimized geometry

The structure in extended XYZ format:
```
4
Lattice="5.961 0.000 0.000 2.980 5.162 0.000 2.980 1.721 4.867" Properties=species:S:1:pos:R:3 pbc="T T T"
Sr 0.000 0.000 0.000
Sr 2.980 1.721 1.217
Ca 5.961 3.441 2.433
In 8.941 5.162 3.650
```


# 21
SrCaIn3 | PBE-GGA | optimized geometry

Results
- relative energy among the computed polymorphs (meV/atom) = 0

The structure in extended XYZ format:
```
5
Lattice="5.798 0.000 0.000 0.000 5.798 0.000 0.000 0.000 5.798" Properties=species:S:1:pos:R:3 pbc="T T T"
Sr 2.899 2.899 2.899
Ca 0.000 0.000 0.000
In 0.000 2.899 0.000
In 0.000 0.000 2.899
In 2.899 0.000 0.000
```


# 22
Sr2CaIn | PBE-GGA | optimized geometry

The structure in extended XYZ format:
```
4
Lattice="4.063 0.000 0.000 2.031 3.518 0.000 2.031 1.173 11.990" Properties=species:S:1:pos:R:3 pbc="T T T"
Sr 2.031 1.173 9.428
Sr 2.031 1.173 2.571
Ca 4.063 2.346 5.982
In 4.063 2.346 0.005
```


# 23
SrCa2In | PBE-GGA | optimized geometry

The structure in extended XYZ format:
```
4
Lattice="7.017 0.922 0.160 2.548 6.603 -0.160 -4.146 -4.572 3.468" Properties=species:S:1:pos:R:3 pbc="T T T"
Sr 1.925 3.158 1.654
Ca 9.536 7.502 0.000
Ca 3.453 -0.237 1.814
In 4.854 3.819 0.000
```


# 24
Sr2CaIn | PBE-GGA | optimized geometry

The structure in extended XYZ format:
```
4
Lattice="-5.007 0.938 2.363 -0.927 -3.982 -0.385 2.331 -3.269 6.234" Properties=species:S:1:pos:R:3 pbc="T T T"
Sr 1.319 -6.936 5.546
Sr -2.126 -1.633 2.816
Ca 0.560 -4.388 2.928
In -1.252 -4.232 5.697
```


# 25
SrCa2In | PBE-GGA | optimized geometry

The structure in extended XYZ format:
```
4
Lattice="-5.695 -0.353 10.684 -3.188 -3.296 11.211 -2.069 0.371 11.929" Properties=species:S:1:pos:R:3 pbc="T T T"
Sr -8.214 -2.458 25.368
Ca -10.803 -3.233 33.363
Ca -5.625 -1.683 17.372
In -2.738 -0.819 8.456
```


| no. | total magnetization (μB/cell) | energy (eV/atom) | ΔH_f (0 K) (eV per atom) |
| --- | --- | --- | --- |
| 1 | 0.00 | -2.334 | -0.228 |
| 2 | 0.00 | -2.075 | -0.102 |
| 3 | 0.00 | -2.595 | -0.362 |
| 4 | 0.00 | -2.584 | -0.351 |
| 5 | 1.01 | -2.173 | -0.147 |
| 6 | 0.00 | -2.267 | -0.241 |
| 7 | 0.00 | -2.350 | -0.118 |
| 8 | 0.04 | -2.367 | -0.262 |
| 9 | 0.00 | -2.627 | -0.363 |
| 10 | 0.00 | -2.591 | -0.359 |
| 11 | 0.00 | -2.298 | -0.193 |
| 12 | 0.00 | -2.212 | -0.186 |
| 13 | 0.00 | -2.590 | -0.364 |
| 14 | 0.00 | -2.182 | -0.076 |
| 15 | 0.00 | -2.799 | -0.305 |
| 16 | 0.00 | -2.325 | -0.220 |
| 17 | 0.46 | -2.331 | -0.225 |
| 18 | 0.00 | -2.019 | 0.007 |
| 19 | 0.00 | -2.115 | -0.158 |
| 20 | 0.00 | -2.175 | -0.149 |
| 21 | 0.00 | -2.222 | 0.158 |
| 22 | 0.00 | -2.130 | -0.104 |
| 23 | 0.75 | -2.278 | -0.172 |
| 24 | 0.00 | -2.174 | -0.148 |
| 25 | 0.00 | -2.236 | -0.130 |